1.
Density functional theory data (PBE) for an optimized crystal structure of Cs3NaV.

Energy of formation from the pure elements = 1.238 eV/atom

```
data_Cs3NaV
_space_group_name_H-M_alt 'P 1'
_space_group_IT_number 1
_cell_length_a 7.494
_cell_length_b 7.494
_cell_length_c 7.494
_cell_angle_alpha 90.00
_cell_angle_beta 90.00
_cell_angle_gamma 90.00
loop_
_space_group_symop_operation_xyz
'x,y,z'
loop_
_atom_site_label
_atom_site_type_symbol
_atom_site_fract_x
_atom_site_fract_y
_atom_site_fract_z
_atom_site_occupancy
Cs1 Cs 0.500 0.000 0.000 1
V1 V 0.500 0.500 0.500 1
Cs2 Cs 0.000 0.500 0.000 1
Na1 Na 0.000 0.000 0.000 1
Cs3 Cs 0.000 0.000 0.500 1
```

***

2.
Density functional theory data (PBE) for an optimized crystal structure of CaTi2O4.

Energy above the lowest structure with this stoichiometry = 3.741 kcal/mol of atoms

```
data_CaTi2O4
_space_group_name_H-M_alt 'P 1'
_space_group_IT_number 1
_cell_length_a 7.626
_cell_length_b 7.626
_cell_length_c 9.788
_cell_angle_alpha 51.12
_cell_angle_beta 51.12
_cell_angle_gamma 22.91
loop_
_space_group_symop_operation_xyz
'x,y,z'
loop_
_atom_site_label
_atom_site_type_symbol
_atom_site_fract_x
_atom_site_fract_y
_atom_site_fract_z
_atom_site_occupancy
O1 O 0.830 0.830 0.990 1
Ca1 Ca 0.354 0.354 0.144 1
Ti1 Ti 0.363 0.363 0.815 1
Ti2 Ti 0.857 0.857 0.476 1
O2 O 0.776 0.776 0.371 1
O3 O 0.170 0.170 0.010 1
O4 O 0.468 0.468 0.324 1
Ti3 Ti 0.637 0.637 0.185 1
Ti4 Ti 0.143 0.143 0.524 1
O5 O 0.532 0.532 0.676 1
Ca2 Ca 0.646 0.646 0.856 1
O6 O 0.147 0.147 0.316 1
O7 O 0.224 0.224 0.629 1
O8 O 0.853 0.853 0.684 1
```

***

Number 1: raw total energy -1.362 eV per atom. Number 2: raw total energy -8.160 eV per atom.